{"formula": "MgFe2O4", "functional": "PBE+U", "state": "relaxed", "energy_ev_per_atom": -6.436, "de_polymorph_mev_per_atom": 19.1, "total_magnetization_mub_per_atom": 1.4286, "rho_g_cm3": 4.69, "lattice_angstrom": [[1.464, -4.869, 0.000], [1.464, 4.869, 0.000], [0.000, 0.000, 9.939]], "species": ["Mg", "Mg", "Fe", "Fe", "Fe", "Fe", "O", "O", "O", "O", "O", "O", "O", "O"], "frac_coords": [[0.112, 0.888, 0.750], [0.888, 0.112, 0.250], [0.367, 0.633, 0.575], [0.367, 0.633, 0.925], [0.633, 0.367, 0.075], [0.633, 0.367, 0.425], [0.000, 0.000, 0.000], [0.000, 0.000, 0.500], [0.272, 0.728, 0.115], [0.272, 0.728, 0.385], [0.464, 0.536, 0.750], [0.536, 0.464, 0.250], [0.728, 0.272, 0.615], [0.728, 0.272, 0.885]]}